#P
An optimized crystal structure of KTcTe, computed with PBE.

abc: 5.0074 5.0074 5.0074
angles: 60.00 60.00 60.00
With the nearest neighbours (Å) after each atom.
Positions (direct):
1 Tc 0.7500 0.7500 0.7500  4 K 3.07, 4 Te 3.07
2 K 0.5000 0.5000 0.5000  4 Tc 3.07
3 Te 0.0000 0.0000 0.0000  4 Tc 3.07

Calculated values
symmetry	F-43m (216)

=====

#Q
An optimized crystal structure of KTcTe, computed with PBE.

abc: 6.9066 6.9065 3.4598
angles: 75.50 75.50 29.01
With the nearest neighbours (Å) after each atom.
Positions (direct):
1 Tc 0.2943 0.2943 0.7057  4 Te 2.68
2 K 0.9958 0.9958 0.0042  4 K 3.46, 5 Tc 3.57-3.86, 5 Te 3.69
3 Te 0.7099 0.7099 0.2901  4 Tc 2.68

Calculated values
symmetry	I4mm (107)

=====

Energy ordering: #Q at the bottom, the next structure 52.7 kJ/mol of atoms above.